(1)
This record from Alexandria via LeMat-Bulk describes an optimized crystal structure of Hg12BiPb16. The functional is PBE-GGA.

Cell: 12.2506 15.5089 9.9996 Å, 90.00 115.87 90.00°
Space group Cm (No. 8)
One atom of each set of equivalent atoms:
Hg (0.0000, 0.0000, 0.0000) (multiplicity 2)
Hg (0.0515, 0.0981, 0.4386) (multiplicity 4)
Hg (0.0949, 0.3003, 0.8788) (multiplicity 4)
Hg (0.2017, 0.4031, 0.6968) (multiplicity 4)
Hg (0.2141, 0.0000, 0.3419) (multiplicity 2)
Hg (0.2983, 0.3311, 0.2327) (multiplicity 4)
Hg (0.4978, 0.0970, 0.0752) (multiplicity 4)
Bi (0.2115, 0.0000, 0.8339) (multiplicity 2)
Pb (0.1237, 0.2905, 0.3850) (multiplicity 4)
Pb (0.2349, 0.5000, 0.0198) (multiplicity 2)
Pb (0.2473, 0.1349, 0.1091) (multiplicity 4)
Pb (0.2689, 0.5000, 0.4071) (multiplicity 2)
Pb (0.2699, 0.1951, 0.7365) (multiplicity 4)
Pb (0.4019, 0.1841, 0.5022) (multiplicity 4)
Pb (0.4402, 0.0000, 0.7245) (multiplicity 2)
Pb (0.4430, 0.3074, 0.0398) (multiplicity 4)
Pb (0.4643, 0.3754, 0.7003) (multiplicity 4)
Pb (0.4854, 0.0000, 0.3773) (multiplicity 2)

Properties
Its total energy is -2.27 eV/atom. The calculation puts the size of the total moment at 0.00 μB/cell. For the energy of formation, the calculation gives 34 meV/atom. Its density is 11.5 g/cm³.


(2)
This record from Alexandria via LeMat-Bulk describes an optimized crystal structure of La3PrO6. The functional is PBE-GGA.

Cell: 10.2852 10.2852 12.0957 Å, 90.00 90.00 120.00°
Space group R-3 (No. 148, hexagonal axes)
One atom of each set of equivalent atoms:
La (0.0369, 0.2652, 0.2117) (multiplicity 18)
Pr (0.0000, 0.0000, 0.0000) (multiplicity 3)
Pr (0.0000, 0.0000, 0.5000) (multiplicity 3)
O (0.0280, 0.1874, 0.8699) (multiplicity 18)
O (0.0302, 0.2203, 0.4046) (multiplicity 18)

Properties
Its total energy is -8.33 eV/atom. Its uncorrected formation energy is -3.398 eV per atom. The calculation puts the size of the total moment at 0.00 μB/cell. Its density is 5.9 g/cm³.


(3)
This record from Alexandria via LeMat-Bulk describes an optimized crystal structure of CrTe2P. The functional is PBE-GGA.

Cell: 5.9293 8.0620 4.0216 Å, 90.00 90.00 90.00°
Space group Cmmm (No. 65)
One atom of each set of equivalent atoms:
Cr (0.0000, 0.0000, 0.0000) (multiplicity 2)
Te (0.0000, 0.2482, 0.5000) (multiplicity 4)
P (0.0000, 0.5000, 0.0000) (multiplicity 2)

Properties
Its total energy is -5.00 eV/atom. Its uncorrected formation energy is 0.327 eV per atom. The calculation puts the size of the total moment at 8.85 μB/cell. Its density is 5.8 g/cm³.


(4)
This record from Alexandria via LeMat-Bulk describes an optimized crystal structure of ZrCuSCl2. The functional is PBE-GGA.

Cell: 5.0304 5.0304 4.9773 Å, 90.00 90.00 90.00°
Space group P4/mmm (No. 123)
One atom of each set of equivalent atoms:
Zr (0.0000, 0.0000, 0.0000) (multiplicity 1)
Cu (0.5000, 0.5000, 0.5000) (multiplicity 1)
S (0.0000, 0.0000, 0.5000) (multiplicity 1)
Cl (0.0000, 0.5000, 0.0000) (multiplicity 2)

Properties
Its total energy is -4.67 eV/atom. Its uncorrected formation energy is -0.573 eV per atom. The calculation puts the size of the total moment at 0.00 μB/cell. Its density is 3.4 g/cm³.


(5)
This record from Alexandria via LeMat-Bulk describes an optimized crystal structure of TlVBr2Cl. The functional is PBE-GGA.

Cell: 5.3059 5.3059 4.9371 Å, 90.00 90.00 90.00°
Space group P4/mmm (No. 123)
One atom of each set of equivalent atoms:
Tl (0.0000, 0.0000, 0.0000) (multiplicity 1)
V (0.5000, 0.5000, 0.5000) (multiplicity 1)
Br (0.0000, 0.5000, 0.5000) (multiplicity 2)
Cl (0.5000, 0.5000, 0.0000) (multiplicity 1)

Properties
Its total energy is -4.16 eV/atom. Its uncorrected formation energy is -0.826 eV per atom. The calculation puts the size of the total moment at 3.00 μB/cell. Its density is 5.4 g/cm³.


(6)
This record from Alexandria via LeMat-Bulk describes an optimized crystal structure of Ac2Ni5Au5. The functional is PBE-GGA.

Cell: 4.3006 5.3873 9.6997 Å, 90.00 90.00 90.00°
Space group Pmmm (No. 47)
One atom of each set of equivalent atoms:
Ac (0.0000, 0.0000, 0.0000) (multiplicity 1)
Ac (0.0000, 0.5000, 0.5000) (multiplicity 1)
Ni (0.5000, 0.0000, 0.5000) (multiplicity 1)
Ni (0.5000, 0.2469, 0.2592) (multiplicity 4)
Au (0.0000, 0.0000, 0.3327) (multiplicity 2)
Au (0.0000, 0.5000, 0.1833) (multiplicity 2)
Au (0.5000, 0.5000, 0.0000) (multiplicity 1)

Properties
Its total energy is -4.82 eV/atom. The calculation puts the size of the total moment at 0.00 μB/cell. For the energy of formation, the calculation gives -362 meV/atom. Its density is 12.8 g/cm³.


(7)
This record from Alexandria via LeMat-Bulk describes an optimized crystal structure of Y3Al2Cd3. The functional is PBE-GGA.

Cell: 4.5979 11.0504 15.3535 Å, 90.00 90.00 90.00°
Space group Cmcm (No. 63)
One atom of each set of equivalent atoms:
Y (0.0000, 0.0848, 0.1104) (multiplicity 8)
Y (0.0000, 0.3588, 0.2500) (multiplicity 4)
Al (0.0000, 0.2058, 0.6079) (multiplicity 8)
Cd (0.0000, 0.3566, 0.7500) (multiplicity 4)
Cd (0.0000, 0.3785, 0.0362) (multiplicity 8)

Properties
Its total energy is -4.05 eV/atom. The calculation puts the size of the total moment at 0.00 μB/cell. For the energy of formation, the calculation gives -347 meV/atom. Its density is 5.6 g/cm³.


(8)
This record from Alexandria via LeMat-Bulk describes an optimized crystal structure of Na2LiGe4Ir3. The functional is PBE-GGA.

Cell: 4.2843 4.2843 9.9823 Å, 90.00 90.00 90.00°
Space group P-4m2 (No. 115)
One atom of each set of equivalent atoms:
Na (0.0000, 0.5000, 0.2476) (multiplicity 2)
Li (0.5000, 0.5000, 0.0000) (multiplicity 1)
Ge (0.0000, 0.0000, 0.5000) (multiplicity 1)
Ge (0.0000, 0.5000, 0.8726) (multiplicity 2)
Ge (0.5000, 0.5000, 0.5000) (multiplicity 1)
Ir (0.0000, 0.0000, 0.0000) (multiplicity 1)
Ir (0.0000, 0.5000, 0.6292) (multiplicity 2)

Properties
Its total energy is -5.23 eV/atom. The calculation puts the size of the total moment at 0.00 μB/cell. For the energy of formation, the calculation gives -271 meV/atom. Its density is 8.3 g/cm³.


Q: Look up the density of the fifth one.
A: 5.4 g/cm³